(1)
Computed, not measured: a relaxed Tb4Mo crystal at the PBE level of DFT.

Cell: 5.428 5.428 5.428 Å, 90.00 90.00 90.00°
Sites, in units of the cell vectors:
Tb 0.500 0.000 0.500
Tb 0.000 0.500 0.500
Mo 0.500 0.500 0.500
Tb 0.500 0.500 0.000
Tb 0.000 0.000 0.000

Symmetry ... Pm-3m, No. 221
Calculated total energy ... -27.43 eV/cell
ρ ... 7.598 g/cm3
N(E_F) ... 7.0 states/eV/f.u.


(2)
Computed, not measured: a relaxed SrIrF3 crystal at the PBE level of DFT.

Cell: 4.416 4.416 4.416 Å, 90.00 90.00 90.00°
Sites, in units of the cell vectors:
Ir 0.000 0.000 0.000
F 0.000 0.500 0.000
Sr 0.500 0.500 0.500
F 0.000 0.000 0.500
F 0.500 0.000 0.000

Symmetry ... Pm-3m, No. 221
Calculated total energy ... -23.57 eV/cell
Formation energy without anion corrections ... -1.4825 eV per atom
ρ ... 6.493 g/cm3
Distance to the lowest polymorph of the same formula ... 0 meV/atom
N(E_F) ... 2.0 states/eV/f.u.


(3)
Computed, not measured: a relaxed NaThAgHg crystal at the PBE level of DFT.

Cell: 5.218 5.218 5.218 Å, 60.00 60.00 60.00°
Sites, in units of the cell vectors:
Ag 0.000 0.000 0.000
Na 0.750 0.750 0.750
Th 0.250 0.250 0.250
Hg 0.500 0.500 0.500

Symmetry ... F-43m, No. 216
Calculated total energy ... -12.15 eV/cell
ρ ... 9.312 g/cm3
N(E_F) ... 2.7 states/eV/f.u.


(4)
Computed, not measured: a relaxed Mo3PbN crystal at the PBE level of DFT.

Cell: 5.020 5.020 5.020 Å, 90.00 90.00 90.00°
Sites, in units of the cell vectors:
Mo 0.500 0.000 0.000
Mo 0.000 0.000 0.500
N 0.500 0.500 0.500
Pb 0.000 0.000 0.000
Mo 0.000 0.500 0.000

Symmetry ... Pm-3m, No. 221
Calculated total energy ... -25.35 eV/cell
Formation energy without anion corrections ... 3.8364 eV per atom
ρ ... 6.680 g/cm3
Distance to the lowest polymorph of the same formula ... 3668 meV/atom
N(E_F) ... 9.3 states/eV/f.u.


(5)
Computed, not measured: a relaxed TbHg2 crystal at the PBE level of DFT.

Cell: 5.996 5.996 3.742 Å, 71.81 71.81 36.37°
Site moments in Bohr magnetons follow the coordinates.
Sites, in units of the cell vectors:
Tb 0.000 0.000 0.000  0.15
Hg 0.331 0.331 0.669  0.01
Hg 0.669 0.669 0.331  0.01

Symmetry ... I4/mmm, No. 139
Calculated total energy ... -6.28 eV/cell
ρ ... 12.344 g/cm3
N(E_F) ... 2.1 states/eV/f.u.


(6)
Computed, not measured: a relaxed Hf2NbZnC crystal at the PBE level of DFT.

Cell: 4.471 4.471 4.270 Å, 90.00 90.00 90.00°
Sites, in units of the cell vectors:
Nb 0.000 0.000 0.500
Zn 0.500 0.500 0.500
C 0.000 0.000 0.000
Hf 0.000 0.500 0.000
Hf 0.500 0.000 0.000

Symmetry ... P4/mmm, No. 123
Calculated total energy ... -42.10 eV/cell
ρ ... 10.258 g/cm3
Distance to the lowest polymorph of the same formula ... 0 meV/atom
N(E_F) ... 2.9 states/eV/f.u.


(7)
Computed, not measured: a relaxed CaScInHg crystal at the PBE level of DFT.

Cell: 5.198 5.198 5.198 Å, 60.00 60.00 60.00°
Sites, in units of the cell vectors:
Sc 0.000 0.000 0.000
Hg 0.250 0.250 0.250
In 0.750 0.750 0.750
Ca 0.500 0.500 0.500

Symmetry ... F-43m, No. 216
Calculated total energy ... -13.06 eV/cell
ρ ... 6.694 g/cm3
Distance to the lowest polymorph of the same formula ... 40 meV/atom
N(E_F) ... 2.1 states/eV/f.u.


(8)
Computed, not measured: a relaxed Na2Ag3F8 crystal at the PBE level of DFT.

Cell: 5.932 6.832 6.553 Å, 121.42 104.62 90.00°
Site moments in Bohr magnetons follow the coordinates.
Sites, in units of the cell vectors:
F 0.068 0.394 0.788  0.00
Na 0.649 0.719 0.438  0.00
F 0.977 0.112 0.225  0.00
Ag 0.500 0.000 0.000  0.30
F 0.453 0.914 0.246  0.07
F 0.547 0.086 0.754  0.07
Ag 0.000 0.255 0.000  0.00
F 0.547 0.668 0.754  0.07
Na 0.351 0.281 0.562  0.00
F 0.023 0.888 0.775  0.00
Ag 0.000 0.745 0.000  0.00
F 0.453 0.332 0.246  0.07
F 0.932 0.606 0.212  0.00

Symmetry ... C2/m, No. 12
Calculated total energy ... -47.05 eV/cell
Formation energy without anion corrections ... -1.6068 eV per atom
ρ ... 4.000 g/cm3
N(E_F) ... 5.6 states/eV/f.u.


(9)
Computed, not measured: a relaxed Nd6CdPt2 crystal at the PBE level of DFT.

Cell: 8.851 8.851 8.851 Å, 104.51 110.32 113.72°
Sites, in units of the cell vectors:
Nd 0.110 0.290 0.820
Pt 0.500 0.369 0.869
Pt 0.500 0.631 0.131
Nd 0.304 0.633 0.329
Cd 0.000 0.000 0.000
Nd 0.197 0.764 0.962
Nd 0.470 0.290 0.180
Nd 0.304 0.976 0.671
Nd 0.890 0.710 0.180
Pt 0.342 0.000 0.342
Nd 0.696 0.024 0.329
Nd 0.530 0.710 0.820
Nd 0.197 0.236 0.433
Pt 0.658 0.000 0.658
Nd 0.803 0.236 0.038
Cd 0.000 0.500 0.500
Nd 0.696 0.367 0.671
Nd 0.803 0.764 0.567

Symmetry ... Immm, No. 71
Calculated total energy ... -93.95 eV/cell
ρ ... 8.568 g/cm3
N(E_F) ... 9.2 states/eV/f.u.


(10)
Computed, not measured: a relaxed Mg4Si3 crystal at the PBE level of DFT.

Cell: 8.142 8.335 13.237 Å, 142.17 33.18 144.13°
Sites, in units of the cell vectors:
Mg 0.813 0.754 0.387
Si 0.850 0.244 0.070
Mg 0.442 0.678 0.920
Si 0.828 0.363 0.502
Si 0.339 0.804 0.786
Si 0.828 0.863 0.002
Mg 0.866 0.854 0.185
Mg 0.442 0.178 0.420
Mg 0.236 0.930 0.652
Mg 0.813 0.254 0.887
Si 0.339 0.304 0.286
Mg 0.236 0.430 0.152
Mg 0.866 0.354 0.685
Si 0.850 0.744 0.570

Symmetry ... P-1, No. 2
Calculated total energy ... -44.82 eV/cell
Formation energy without anion corrections ... 0.0340 eV per atom
ρ ... 2.232 g/cm3
Distance to the lowest polymorph of the same formula ... 66 meV/atom
N(E_F) ... 2.1 states/eV/f.u.


(11)
Computed, not measured: a relaxed Sc4SnPdRu2 crystal at the PBE level of DFT.

Cell: 4.676 4.676 8.167 Å, 73.37 73.37 60.00°
Sites, in units of the cell vectors:
Ru 0.749 0.749 0.753
Sc 0.871 0.871 0.387
Sn 0.000 0.000 0.000
Ru 0.251 0.251 0.247
Sc 0.129 0.129 0.613
Pd 0.500 0.500 0.500
Sc 0.381 0.381 0.857
Sc 0.619 0.619 0.143

Symmetry ... R-3m, No. 166
Calculated total energy ... -58.29 eV/cell
ρ ... 6.908 g/cm3
N(E_F) ... 3.8 states/eV/f.u.


(12)
Computed, not measured: a relaxed NiS2N2 crystal at the PBE level of DFT.

Cell: 3.453 3.453 7.847 Å, 90.00 90.00 90.00°
Sites, in units of the cell vectors:
S 0.500 0.500 0.500
Ni 0.000 0.000 0.000
N 0.500 0.000 0.000
N 0.000 0.500 0.000
S 0.000 0.000 0.500

Symmetry ... P4/mmm, No. 123
Calculated total energy ... -24.18 eV/cell
Formation energy without anion corrections ... 1.3017 eV per atom
ρ ... 2.678 g/cm3
Distance to the lowest polymorph of the same formula ... 1413 meV/atom
N(E_F) ... 2.5 states/eV/f.u.